1.
{"formula": "Zr5Tc6", "functional": "PBE-GGA", "state": "optimized geometry", "crystal_system": "monoclinic", "total_magnetization_mub_per_atom": 0.00, "space_group": "No. 12", "ef_kj_per_mol_atoms": 6, "e_tot_ev_per_atom": -9.48, "lattice_angstrom": [[-3.498, 2.532, 1.527], [-2.466, -5.252, 3.058], [6.542, 2.955, 3.319]], "species": ["Zr", "Zr", "Zr", "Zr", "Zr", "Tc", "Tc", "Tc", "Tc", "Tc", "Tc"], "fractional_positions": [[0.000, 0.500, 0.000], [0.671, 0.670, 0.341], [0.329, 0.330, 0.659], [0.341, 0.843, 0.685], [0.659, 0.157, 0.315], [0.500, 0.739, 0.000], [0.500, 0.261, 0.000], [0.835, 0.086, 0.671], [0.835, 0.586, 0.671], [0.165, 0.914, 0.329], [0.165, 0.414, 0.329]]}

2.
{"formula": "Zr3Tc", "functional": "PBE-GGA", "state": "optimized geometry", "crystal_system": "orthorhombic", "total_magnetization_mub_per_atom": 0.00, "space_group": "No. 63", "ef_kj_per_mol_atoms": -13, "e_tot_ev_per_atom": -9.13, "lattice_angstrom": [[-1.501, 5.763, 1.565], [-6.107, 0.470, -0.627], [-0.540, -1.305, 4.288]], "species": ["Tc", "Tc", "Zr", "Zr", "Zr", "Zr", "Zr", "Zr"], "fractional_positions": [[0.375, 0.375, 0.250], [0.625, 0.625, 0.750], [0.893, 0.893, 0.250], [0.107, 0.107, 0.750], [0.406, 0.842, 0.250], [0.594, 0.158, 0.750], [0.158, 0.594, 0.750], [0.842, 0.406, 0.250]]}

3.
{"formula": "Zr4Tc3", "functional": "PBE-GGA", "state": "optimized geometry", "relative_energy_mev_per_atom": 0, "crystal_system": "hexagonal", "total_magnetization_mub_per_atom": 0.00, "space_group": "No. 191", "ef_kj_per_mol_atoms": -22, "e_tot_ev_per_atom": -9.56, "lattice_angstrom": [[-1.112, 3.039, 4.087], [-4.870, 0.205, 1.847], [1.158, -4.329, 3.535]], "species": ["Tc", "Tc", "Tc", "Zr", "Zr", "Zr", "Zr"], "fractional_positions": [[0.500, 0.500, 0.000], [0.000, 0.500, 0.000], [0.500, 0.000, 0.000], [0.000, 0.000, 0.253], [0.000, 0.000, 0.747], [0.333, 0.333, 0.500], [0.667, 0.667, 0.500]]}

4.
{"formula": "Te", "functional": "PBE-GGA", "state": "optimized geometry", "relative_energy_mev_per_atom": 94, "crystal_system": "orthorhombic", "total_magnetization_mub_per_atom": 0.00, "space_group": "No. 19", "e_tot_ev_per_atom": -3.05, "lattice_angstrom": [[9.012, 0.000, 0.000], [0.000, 7.124, 0.000], [0.000, 0.000, 10.578]], "species": ["Te", "Te", "Te", "Te", "Te", "Te", "Te", "Te", "Te", "Te", "Te", "Te", "Te", "Te", "Te", "Te"], "fractional_positions": [[0.432, 0.005, 0.122], [0.932, 0.495, 0.878], [0.568, 0.505, 0.378], [0.068, 0.995, 0.622], [0.395, 0.484, 0.858], [0.895, 0.016, 0.142], [0.605, 0.984, 0.642], [0.105, 0.516, 0.358], [0.668, 0.216, 0.013], [0.168, 0.284, 0.987], [0.332, 0.716, 0.487], [0.832, 0.784, 0.513], [0.302, 0.853, 0.905], [0.802, 0.647, 0.095], [0.698, 0.353, 0.595], [0.198, 0.147, 0.405]]}

5.
{"formula": "Te", "functional": "PBE-GGA", "state": "optimized geometry", "relative_energy_mev_per_atom": 160, "crystal_system": "tetragonal", "total_magnetization_mub_per_atom": 0.00, "space_group": "No. 139", "e_tot_ev_per_atom": -2.98, "lattice_angstrom": [[-2.851, 2.989, -2.538], [-2.489, -0.976, -4.044], [0.998, -1.605, 4.465]], "species": ["Te"], "fractional_positions": [[0.000, 0.000, 0.000]]}

6.
{"formula": "Te", "functional": "PBE-GGA", "state": "optimized geometry", "relative_energy_mev_per_atom": 312, "crystal_system": "cubic", "total_magnetization_mub_per_atom": 0.00, "space_group": "No. 217", "e_tot_ev_per_atom": -2.83, "lattice_angstrom": [[9.760, 0.000, 0.000], [0.000, 9.760, 0.000], [0.000, 0.000, 9.760]], "species": ["Te", "Te", "Te", "Te", "Te", "Te", "Te", "Te", "Te", "Te", "Te", "Te", "Te", "Te", "Te", "Te"], "fractional_positions": [[0.171, 0.171, 0.171], [0.171, 0.829, 0.829], [0.829, 0.171, 0.829], [0.829, 0.829, 0.171], [0.671, 0.671, 0.671], [0.671, 0.329, 0.329], [0.329, 0.671, 0.329], [0.329, 0.329, 0.671], [0.333, 0.333, 0.333], [0.333, 0.667, 0.667], [0.667, 0.333, 0.667], [0.667, 0.667, 0.333], [0.833, 0.833, 0.833], [0.833, 0.167, 0.167], [0.167, 0.833, 0.167], [0.167, 0.167, 0.833]]}

7.
{"formula": "Te", "functional": "PBE-GGA", "state": "optimized geometry", "relative_energy_mev_per_atom": 170, "crystal_system": "tetragonal", "total_magnetization_mub_per_atom": 0.00, "space_group": "No. 141", "e_tot_ev_per_atom": -2.97, "lattice_angstrom": [[4.602, 0.000, 0.000], [-2.621, 3.782, 0.000], [-0.990, -1.891, 4.077]], "species": ["Te", "Te"], "fractional_positions": [[0.125, 0.375, 0.250], [0.875, 0.625, 0.750]]}

8.
{"formula": "Te", "functional": "PBE-GGA", "state": "optimized geometry", "relative_energy_mev_per_atom": 406, "crystal_system": "cubic", "total_magnetization_mub_per_atom": 0.00, "space_group": "No. 225", "e_tot_ev_per_atom": -2.74, "lattice_angstrom": [[3.408, 0.000, 0.000], [1.704, 2.951, 0.000], [1.704, 0.984, 2.783]], "species": ["Te"], "fractional_positions": [[0.000, 0.000, 0.000]]}

9.
{"formula": "Te", "functional": "PBE-GGA", "state": "optimized geometry", "relative_energy_mev_per_atom": 325, "crystal_system": "hexagonal", "total_magnetization_mub_per_atom": 0.00, "space_group": "No. 194", "e_tot_ev_per_atom": -2.82, "lattice_angstrom": [[-4.699, 1.938, 1.225], [1.095, -5.017, 0.982], [2.157, 1.596, 5.750]], "species": ["Te", "Te", "Te", "Te"], "fractional_positions": [[0.000, 0.000, 0.250], [0.000, 0.000, 0.750], [0.333, 0.667, 0.250], [0.667, 0.333, 0.750]]}

10.
{"formula": "Te", "functional": "PBE-GGA", "state": "optimized geometry", "relative_energy_mev_per_atom": 190, "crystal_system": "orthorhombic", "total_magnetization_mub_per_atom": 0.00, "space_group": "No. 64", "e_tot_ev_per_atom": -2.95, "lattice_angstrom": [[-4.264, 0.246, 0.575], [0.346, -2.538, -3.466], [0.250, -5.999, 4.418]], "species": ["Te", "Te", "Te", "Te"], "fractional_positions": [[0.844, 0.156, 0.120], [0.156, 0.844, 0.880], [0.344, 0.656, 0.380], [0.656, 0.344, 0.620]]}

11.
{"formula": "Te", "functional": "PBE-GGA", "state": "optimized geometry", "relative_energy_mev_per_atom": 97, "crystal_system": "tetragonal", "total_magnetization_mub_per_atom": 0.00, "space_group": "No. 87", "e_tot_ev_per_atom": -3.04, "lattice_angstrom": [[13.757, 0.000, 0.000], [0.000, 13.757, 0.000], [0.000, 0.000, 3.136]], "species": ["Te", "Te", "Te", "Te", "Te", "Te", "Te", "Te", "Te", "Te", "Te", "Te", "Te", "Te", "Te", "Te"], "fractional_positions": [[0.411, 0.804, 0.000], [0.589, 0.196, 0.000], [0.196, 0.411, 0.000], [0.804, 0.589, 0.000], [0.911, 0.304, 0.500], [0.089, 0.696, 0.500], [0.696, 0.911, 0.500], [0.304, 0.089, 0.500], [0.424, 0.314, 0.000], [0.576, 0.686, 0.000], [0.686, 0.424, 0.000], [0.314, 0.576, 0.000], [0.924, 0.814, 0.500], [0.076, 0.186, 0.500], [0.186, 0.924, 0.500], [0.814, 0.076, 0.500]]}

12.
{"formula": "Te", "functional": "PBE-GGA", "state": "optimized geometry", "relative_energy_mev_per_atom": 208, "crystal_system": "tetragonal", "total_magnetization_mub_per_atom": 0.00, "space_group": "No. 141", "e_tot_ev_per_atom": -2.93, "lattice_angstrom": [[-3.082, 2.489, 2.736], [1.902, -4.386, -0.567], [3.990, 2.058, 1.738]], "species": ["Te", "Te"], "fractional_positions": [[0.125, 0.875, 0.750], [0.875, 0.125, 0.250]]}

13.
{"formula": "Te", "functional": "PBE-GGA", "state": "optimized geometry", "relative_energy_mev_per_atom": 333, "crystal_system": "cubic", "total_magnetization_mub_per_atom": 0.00, "space_group": "No. 229", "e_tot_ev_per_atom": -2.81, "lattice_angstrom": [[3.326, 0.000, 0.000], [-1.109, 3.136, 0.000], [-1.109, -1.568, 2.716]], "species": ["Te"], "fractional_positions": [[0.000, 0.000, 0.000]]}

14.
{"formula": "Te", "functional": "PBE-GGA", "state": "optimized geometry", "relative_energy_mev_per_atom": 264, "crystal_system": "tetragonal", "total_magnetization_mub_per_atom": 0.00, "space_group": "No. 139", "e_tot_ev_per_atom": -2.88, "lattice_angstrom": [[-4.428, -6.281, 5.656], [5.806, -6.901, -3.117], [2.538, 0.824, 2.903]], "species": ["Te", "Te", "Te", "Te", "Te", "Te", "Te", "Te"], "fractional_positions": [[0.843, 0.843, 0.000], [0.843, 0.157, 0.000], [0.157, 0.843, 0.000], [0.157, 0.157, 0.000], [0.343, 0.343, 0.500], [0.343, 0.657, 0.500], [0.657, 0.343, 0.500], [0.657, 0.657, 0.500]]}

15.
{"formula": "Te", "functional": "PBE-GGA", "state": "optimized geometry", "relative_energy_mev_per_atom": 0, "crystal_system": "trigonal", "total_magnetization_mub_per_atom": 0.00, "space_group": "No. 154", "e_tot_ev_per_atom": -3.14, "lattice_angstrom": [[4.499, 0.000, 0.000], [-2.250, 3.897, 0.000], [0.000, 0.000, 5.963]], "species": ["Te", "Te", "Te"], "fractional_positions": [[0.000, 0.270, 0.333], [0.270, 0.000, 0.667], [0.730, 0.730, 0.000]]}

16.
{"formula": "Te", "functional": "PBE-GGA", "state": "optimized geometry", "relative_energy_mev_per_atom": 24, "crystal_system": "trigonal", "total_magnetization_mub_per_atom": 0.00, "space_group": "No. 148", "e_tot_ev_per_atom": -3.12, "lattice_angstrom": [[5.165, 0.000, 0.000], [-1.722, 7.012, 0.000], [1.722, 3.506, 6.073]], "species": ["Te", "Te", "Te", "Te", "Te", "Te"], "fractional_positions": [[0.819, 0.736, 0.854], [0.673, 0.854, 0.410], [0.083, 0.410, 0.736], [0.181, 0.264, 0.146], [0.327, 0.146, 0.590], [0.917, 0.590, 0.264]]}

17.
{"formula": "Te", "functional": "PBE-GGA", "state": "optimized geometry", "relative_energy_mev_per_atom": 127, "crystal_system": "orthorhombic", "total_magnetization_mub_per_atom": 0.00, "space_group": "No. 59", "e_tot_ev_per_atom": -3.01, "lattice_angstrom": [[-3.485, 4.576, -1.389], [-1.934, 0.579, 6.756], [10.659, 8.815, 2.295]], "species": ["Te", "Te", "Te", "Te", "Te", "Te", "Te", "Te", "Te", "Te", "Te", "Te"], "fractional_positions": [[0.000, 0.111, 0.656], [0.500, 0.889, 0.844], [0.500, 0.889, 0.156], [0.000, 0.111, 0.344], [0.000, 0.538, 0.000], [0.500, 0.462, 0.500], [0.000, 0.776, 0.842], [0.500, 0.224, 0.658], [0.500, 0.224, 0.342], [0.000, 0.776, 0.158], [0.000, 0.874, 0.500], [0.500, 0.126, 0.000]]}

18.
{"formula": "Te", "functional": "PBE-GGA", "state": "optimized geometry", "relative_energy_mev_per_atom": 147, "crystal_system": "orthorhombic", "total_magnetization_mub_per_atom": 0.00, "space_group": "No. 70", "e_tot_ev_per_atom": -2.99, "lattice_angstrom": [[-5.213, 8.517, 9.087], [-10.239, -17.286, 10.328], [5.332, -0.853, 3.859]], "species": ["Te", "Te", "Te", "Te", "Te", "Te", "Te", "Te", "Te", "Te", "Te", "Te", "Te", "Te", "Te", "Te", "Te", "Te", "Te", "Te", "Te", "Te", "Te", "Te", "Te", "Te", "Te", "Te", "Te", "Te", "Te", "Te"], "fractional_positions": [[0.000, 0.820, 0.000], [0.000, 0.180, 0.000], [0.250, 0.930, 0.250], [0.250, 0.570, 0.250], [0.000, 0.320, 0.500], [0.000, 0.680, 0.500], [0.250, 0.430, 0.750], [0.250, 0.070, 0.750], [0.500, 0.820, 0.500], [0.500, 0.180, 0.500], [0.750, 0.930, 0.750], [0.750, 0.570, 0.750], [0.500, 0.320, 0.000], [0.500, 0.680, 0.000], [0.750, 0.430, 0.250], [0.750, 0.070, 0.250], [0.863, 0.000, 0.000], [0.137, 0.000, 0.000], [0.387, 0.750, 0.250], [0.113, 0.750, 0.250], [0.863, 0.500, 0.500], [0.137, 0.500, 0.500], [0.387, 0.250, 0.750], [0.113, 0.250, 0.750], [0.363, 0.000, 0.500], [0.637, 0.000, 0.500], [0.887, 0.750, 0.750], [0.613, 0.750, 0.750], [0.363, 0.500, 0.000], [0.637, 0.500, 0.000], [0.887, 0.250, 0.250], [0.613, 0.250, 0.250]]}

19.
{"formula": "Te", "functional": "PBE-GGA", "state": "optimized geometry", "relative_energy_mev_per_atom": 278, "crystal_system": "hexagonal", "total_magnetization_mub_per_atom": 0.00, "space_group": "No. 194", "e_tot_ev_per_atom": -2.86, "lattice_angstrom": [[-4.704, 1.204, 1.093], [2.365, -3.472, 2.670], [3.452, 7.457, 6.641]], "species": ["Te", "Te", "Te", "Te"], "fractional_positions": [[0.333, 0.667, 0.034], [0.667, 0.333, 0.534], [0.667, 0.333, 0.966], [0.333, 0.667, 0.466]]}

20.
{"formula": "Te", "functional": "PBE-GGA", "state": "optimized geometry", "relative_energy_mev_per_atom": 39, "crystal_system": "cubic", "total_magnetization_mub_per_atom": 0.00, "space_group": "No. 221", "e_tot_ev_per_atom": -3.10, "lattice_angstrom": [[-3.193, -0.112, -0.162], [-0.100, -1.334, 2.906], [-0.170, 2.906, 1.328]], "species": ["Te"], "fractional_positions": [[0.500, 0.500, 0.500]]}

21.
{"formula": "Te", "functional": "PBE-GGA", "state": "optimized geometry", "relative_energy_mev_per_atom": 446, "crystal_system": "cubic", "total_magnetization_mub_per_atom": 0.00, "space_group": "No. 229", "e_tot_ev_per_atom": -2.70, "lattice_angstrom": [[8.788, 0.000, 0.000], [0.000, 8.788, 0.000], [0.000, 0.000, 8.788]], "species": ["Te", "Te", "Te", "Te", "Te", "Te", "Te", "Te", "Te", "Te", "Te", "Te"], "fractional_positions": [[0.250, 0.000, 0.500], [0.750, 0.000, 0.500], [0.000, 0.500, 0.250], [0.000, 0.500, 0.750], [0.500, 0.250, 0.000], [0.500, 0.750, 0.000], [0.000, 0.750, 0.500], [0.000, 0.250, 0.500], [0.750, 0.500, 0.000], [0.250, 0.500, 0.000], [0.500, 0.000, 0.750], [0.500, 0.000, 0.250]]}

22.
{"formula": "Te", "functional": "PBE-GGA", "state": "optimized geometry", "relative_energy_mev_per_atom": 91, "crystal_system": "triclinic", "total_magnetization_mub_per_atom": 0.00, "space_group": "No. 2", "e_tot_ev_per_atom": -3.05, "lattice_angstrom": [[-2.661, 0.973, 1.316], [-2.042, -0.603, -3.631], [-2.107, -5.464, -0.209]], "species": ["Te", "Te"], "fractional_positions": [[0.500, 0.870, 0.756], [0.500, 0.130, 0.244]]}

23.
{"formula": "Te", "functional": "PBE-GGA", "state": "optimized geometry", "relative_energy_mev_per_atom": 178, "crystal_system": "hexagonal", "total_magnetization_mub_per_atom": 0.00, "space_group": "No. 194", "e_tot_ev_per_atom": -2.96, "lattice_angstrom": [[4.061, 0.000, 0.000], [-2.031, 3.517, 0.000], [0.000, 0.000, 4.398]], "species": ["Te", "Te"], "fractional_positions": [[0.000, 0.000, 0.000], [0.333, 0.667, 0.500]]}

24.
{"formula": "Te", "functional": "PBE-GGA", "state": "optimized geometry", "relative_energy_mev_per_atom": 145, "crystal_system": "orthorhombic", "total_magnetization_mub_per_atom": 0.00, "space_group": "No. 65", "e_tot_ev_per_atom": -3.00, "lattice_angstrom": [[-1.196, -2.842, -3.384], [2.260, 0.095, 3.980], [-2.540, -0.667, 1.458]], "species": ["Te"], "fractional_positions": [[0.500, 0.500, 0.000]]}

25.
{"formula": "Te", "functional": "PBE-GGA", "state": "optimized geometry", "relative_energy_mev_per_atom": 107, "crystal_system": "hexagonal", "total_magnetization_mub_per_atom": 0.00, "space_group": "No. 175", "e_tot_ev_per_atom": -3.03, "lattice_angstrom": [[-7.720, 0.608, -4.819], [4.113, -8.077, 1.025], [-3.310, -1.029, 5.172]], "species": ["Te", "Te", "Te", "Te", "Te", "Te", "Te", "Te", "Te", "Te", "Te", "Te"], "fractional_positions": [[0.599, 0.915, 0.250], [0.684, 0.599, 0.750], [0.085, 0.684, 0.250], [0.401, 0.085, 0.750], [0.316, 0.401, 0.250], [0.915, 0.316, 0.750], [0.915, 0.316, 0.250], [0.599, 0.915, 0.750], [0.684, 0.599, 0.250], [0.085, 0.684, 0.750], [0.401, 0.085, 0.250], [0.316, 0.401, 0.750]]}